DFT (PBE-GGA) results for a relaxed InGa8 crystal.

Unit cell a=4.7554 b=6.5852 c=6.5852 alpha=82.51 beta=68.83 gamma=68.83
Closest atoms and distances in Å follow each position.
Element x y z (fractional)
In: 0.0000 0.0000 0.0000  12 Ga 2.95-3.16
Ga: 0.3302 0.0000 0.3396  10 Ga 2.87-3.16, 2 In 3.16
Ga: 0.6698 0.0000 0.6604  10 Ga 2.87-3.16, 2 In 3.16
Ga: 0.6598 0.3402 0.3402  7 Ga 2.78-3.08, 1 In 2.95
Ga: 0.3302 0.3396 0.0000  10 Ga 2.87-3.16, 2 In 3.16
Ga: 0.0000 0.3402 0.6598  7 Ga 2.78-3.08, 1 In 2.95
Ga: 0.6698 0.6604 0.0000  10 Ga 2.87-3.16, 2 In 3.16
Ga: 0.3402 0.6598 0.6598  7 Ga 2.78-3.08, 1 In 2.95
Ga: 0.0000 0.6598 0.3402  7 Ga 2.78-3.08, 1 In 2.95

Properties
- E above lowest polymorph: 0 meV per atom

DFT (PBE-GGA) results for a relaxed InGa7 crystal.

Unit cell a=4.1185 b=4.1185 c=9.7813 alpha=102.15 beta=102.15 gamma=90.00
Closest atoms and distances in Å follow each position.
Element x y z (fractional)
In: 0.0000 0.0000 0.0000  12 Ga 2.91-3.19
Ga: 0.8699 0.3699 0.7397  10 Ga 2.91-3.19, 2 In 3.19
Ga: 0.7500 0.7500 0.5000  12 Ga 2.91-3.04
Ga: 0.6301 0.1301 0.2603  10 Ga 2.91-3.19, 2 In 3.19
Ga: 0.5000 0.5000 0.0000  4 In 2.91, 8 Ga 3.19
Ga: 0.3699 0.8699 0.7397  10 Ga 2.91-3.19, 2 In 3.19
Ga: 0.2500 0.2500 0.5000  12 Ga 2.91-3.04
Ga: 0.1301 0.6301 0.2603  10 Ga 2.91-3.19, 2 In 3.19

DFT (PBE-GGA) results for a relaxed InGa4 crystal.

Unit cell a=4.3639 b=4.3638 c=6.3883 alpha=109.07 beta=109.07 gamma=92.48
Closest atoms and distances in Å follow each position.
Element x y z (fractional)
In: 0.5000 0.0000 0.5000  16 Ga 3.27-3.56
Ga: 0.7500 0.7500 0.0000  4 Ga 2.68
Ga: 0.2500 0.2500 0.0000  4 Ga 2.68
Ga: 0.8883 0.3883 0.2766  5 Ga 2.52-2.68
Ga: 0.1117 0.6117 0.7234  5 Ga 2.52-2.68

Properties
- E above lowest polymorph: 0 meV per atom

DFT (PBE-GGA) results for a relaxed InGa crystal.

Unit cell a=7.7777 b=7.7777 c=7.7777 alpha=90.00 beta=90.00 gamma=90.00
Closest atoms and distances in Å follow each position.
Element x y z (fractional)
In: 0.2500 0.0000 0.5000  4 Ga 2.75
In: 0.7500 0.0000 0.5000  4 Ga 2.75
In: 0.0000 0.5000 0.2500  4 Ga 2.75
In: 0.0000 0.5000 0.7500  4 Ga 2.75
In: 0.5000 0.2500 0.0000  4 Ga 2.75
In: 0.5000 0.7500 0.0000  4 Ga 2.75
Ga: 0.2500 0.5000 0.0000  4 In 2.75
Ga: 0.7500 0.5000 0.0000  4 In 2.75
Ga: 0.5000 0.0000 0.2500  4 In 2.75
Ga: 0.5000 0.0000 0.7500  4 In 2.75
Ga: 0.0000 0.2500 0.5000  4 In 2.75
Ga: 0.0000 0.7500 0.5000  4 In 2.75

DFT (PBE-GGA) results for a relaxed In3Ga crystal.

Unit cell a=3.5517 b=3.1665 c=9.2131 alpha=90.00 beta=90.00 gamma=90.00
Closest atoms and distances in Å follow each position.
Element x y z (fractional)
Ga: 0.0000 0.0000 0.9694  6 In 2.94-3.10, 2 Ga 3.17
In: 0.0000 0.5000 0.4638  8 In 3.12-3.32
In: 0.5000 0.5000 0.1848  4 Ga 3.10, 4 In 3.12-3.17
In: 0.5000 0.0000 0.7153  2 Ga 2.94, 2 In 3.17

DFT (PBE-GGA) results for a relaxed InGa11 crystal.

Unit cell a=8.2314 b=8.7053 c=8.7053 alpha=77.08 beta=61.78 gamma=61.78
Closest atoms and distances in Å follow each position.
Element x y z (fractional)
In: 0.5000 0.0000 0.0000  16 Ga 3.46-3.51
In: 0.2500 0.5000 0.5000  16 Ga 3.46-3.51
Ga: 0.4125 0.8230 0.4197  6 Ga 2.63-2.95
Ga: 0.6552 0.1770 0.5803  6 Ga 2.63-2.95
Ga: 0.0000 0.0000 0.0000  12 Ga 2.90-3.11
Ga: 0.7500 0.5000 0.5000  12 Ga 2.90-3.11
Ga: 0.3750 0.7500 0.7500  6 Ga 2.70-2.90
Ga: 0.8750 0.7500 0.2500  6 Ga 2.70-2.90
Ga: 0.8750 0.2500 0.7500  6 Ga 2.70-2.90
Ga: 0.8750 0.2500 0.2500  6 Ga 2.70-2.90
Ga: 0.4125 0.4197 0.8230  6 Ga 2.63-2.95
Ga: 0.9855 0.6770 0.9197  6 Ga 2.63-2.95
Ga: 0.5822 0.3230 0.0803  6 Ga 2.63-2.95
Ga: 0.6552 0.5803 0.1770  6 Ga 2.63-2.95
Ga: 0.7645 0.5803 0.8230  6 Ga 2.63-2.95
Ga: 0.1678 0.4197 0.1770  6 Ga 2.63-2.95
Ga: 0.0948 0.3230 0.9197  6 Ga 2.63-2.95
Ga: 0.3375 0.6770 0.0803  6 Ga 2.63-2.95
Ga: 0.3375 0.0803 0.6770  6 Ga 2.63-2.95
Ga: 0.7645 0.8230 0.5803  6 Ga 2.63-2.95
Ga: 0.1678 0.1770 0.4197  6 Ga 2.63-2.95
Ga: 0.0948 0.9197 0.3230  6 Ga 2.63-2.95
Ga: 0.9855 0.9197 0.6770  6 Ga 2.63-2.95
Ga: 0.5822 0.0803 0.3230  6 Ga 2.63-2.95

DFT (PBE-GGA) results for a relaxed InGa crystal.

Unit cell a=6.2905 b=6.2905 c=6.2905 alpha=90.00 beta=90.00 gamma=90.00
Closest atoms and distances in Å follow each position.
Element x y z (fractional)
In: 0.0000 0.0000 0.0000  4 Ga 2.72
In: 0.0000 0.5000 0.5000  4 Ga 2.72
In: 0.5000 0.0000 0.5000  4 Ga 2.72
In: 0.5000 0.5000 0.0000  4 Ga 2.72
Ga: 0.2500 0.2500 0.2500  4 In 2.72
Ga: 0.2500 0.7500 0.7500  4 In 2.72
Ga: 0.7500 0.2500 0.7500  4 In 2.72
Ga: 0.7500 0.7500 0.2500  4 In 2.72

DFT (PBE-GGA) results for a relaxed InGa crystal.

Unit cell a=7.1007 b=9.3501 c=11.4715 alpha=90.00 beta=90.00 gamma=90.00
Closest atoms and distances in Å follow each position.
Element x y z (fractional)
In: 0.0000 0.7957 0.0000  6 Ga 2.94-3.06
In: 0.0000 0.2043 0.0000  6 Ga 2.94-3.06
In: 0.2500 0.9543 0.2500  6 Ga 2.94-3.06
In: 0.2500 0.5457 0.2500  6 Ga 2.94-3.06
In: 0.0000 0.2957 0.5000  6 Ga 2.94-3.06
In: 0.0000 0.7043 0.5000  6 Ga 2.94-3.06
In: 0.2500 0.4543 0.7500  6 Ga 2.94-3.06
In: 0.2500 0.0457 0.7500  6 Ga 2.94-3.06
In: 0.5000 0.7957 0.5000  6 Ga 2.94-3.06
In: 0.5000 0.2043 0.5000  6 Ga 2.94-3.06
In: 0.7500 0.9543 0.7500  6 Ga 2.94-3.06
In: 0.7500 0.5457 0.7500  6 Ga 2.94-3.06
In: 0.5000 0.2957 0.0000  6 Ga 2.94-3.06
In: 0.5000 0.7043 0.0000  6 Ga 2.94-3.06
In: 0.7500 0.4543 0.2500  6 Ga 2.94-3.06
In: 0.7500 0.0457 0.2500  6 Ga 2.94-3.06
Ga: 0.3149 0.0000 0.0000  1 Ga 2.63, 4 In 2.94
Ga: 0.6851 0.0000 0.0000  1 Ga 2.63, 4 In 2.94
Ga: 0.9351 0.7500 0.2500  1 Ga 2.63, 4 In 2.94
Ga: 0.5649 0.7500 0.2500  1 Ga 2.63, 4 In 2.94
Ga: 0.3149 0.5000 0.5000  1 Ga 2.63, 4 In 2.94
Ga: 0.6851 0.5000 0.5000  1 Ga 2.63, 4 In 2.94
Ga: 0.9351 0.2500 0.7500  1 Ga 2.63, 4 In 2.94
Ga: 0.5649 0.2500 0.7500  1 Ga 2.63, 4 In 2.94
Ga: 0.8149 0.0000 0.5000  1 Ga 2.63, 4 In 2.94
Ga: 0.1851 0.0000 0.5000  1 Ga 2.63, 4 In 2.94
Ga: 0.4351 0.7500 0.7500  1 Ga 2.63, 4 In 2.94
Ga: 0.0649 0.7500 0.7500  1 Ga 2.63, 4 In 2.94
Ga: 0.8149 0.5000 0.0000  1 Ga 2.63, 4 In 2.94
Ga: 0.1851 0.5000 0.0000  1 Ga 2.63, 4 In 2.94
Ga: 0.4351 0.2500 0.2500  1 Ga 2.63, 4 In 2.94
Ga: 0.0649 0.2500 0.2500  1 Ga 2.63, 4 In 2.94

DFT (PBE-GGA) results for a relaxed In3Ga11 crystal.

Unit cell a=4.6023 b=8.4824 c=8.4856 alpha=70.50 beta=74.27 gamma=74.26
Closest atoms and distances in Å follow each position.
Element x y z (fractional)
In: 0.0000 0.0000 0.0000  12 Ga 3.22-3.52
In: 0.2800 0.7201 0.7199  12 Ga 3.17-3.34
In: 0.7200 0.2799 0.2801  12 Ga 3.17-3.34
Ga: 0.6401 0.7247 0.9951  5 Ga 2.65-2.79
Ga: 0.8470 0.4483 0.8576  6 Ga 2.79-3.08
Ga: 0.6399 0.9960 0.7241  5 Ga 2.65-2.79
Ga: 0.4995 0.3412 0.6598  4 Ga 2.72-2.78
Ga: 0.1529 0.1426 0.5516  6 Ga 2.79-3.08
Ga: 0.0000 0.5000 0.5000  8 Ga 2.78-2.83
Ga: 0.8471 0.8574 0.4484  6 Ga 2.79-3.08
Ga: 0.5005 0.6588 0.3402  4 Ga 2.72-2.78
Ga: 0.3601 0.0040 0.2759  5 Ga 2.65-2.79
Ga: 0.1530 0.5517 0.1424  6 Ga 2.79-3.08
Ga: 0.3599 0.2753 0.0049  5 Ga 2.65-2.79

DFT (PBE-GGA) results for a relaxed In2Ga crystal.

Unit cell a=6.1236 b=6.1236 c=6.1236 alpha=60.00 beta=60.00 gamma=60.00
Closest atoms and distances in Å follow each position.
Element x y z (fractional)
Ga: 0.0000 0.0000 0.0000  12 In 3.59, 4 Ga 3.75
Ga: 0.2500 0.2500 0.2500  12 In 3.59, 4 Ga 3.75
In: 0.1250 0.6250 0.6250  6 In 3.06
In: 0.6250 0.1250 0.6250  6 In 3.06
In: 0.6250 0.6250 0.6250  6 In 3.06
In: 0.6250 0.6250 0.1250  6 In 3.06

DFT (PBE-GGA) results for a relaxed InGa3 crystal.

Unit cell a=4.1819 b=4.1819 c=5.6620 alpha=111.67 beta=111.67 gamma=90.00
Closest atoms and distances in Å follow each position.
Element x y z (fractional)
Ga: 0.7500 0.2500 0.5000  8 Ga 2.96-3.19, 4 In 3.19
Ga: 0.2500 0.7500 0.5000  8 Ga 2.96-3.19, 4 In 3.19
Ga: 0.5000 0.5000 0.0000  4 In 2.96, 8 Ga 3.19
In: 0.0000 0.0000 0.0000  12 Ga 2.96-3.19

DFT (PBE-GGA) results for a relaxed InGa3 crystal.

Unit cell a=4.6766 b=5.9982 c=6.5665 alpha=90.00 beta=90.00 gamma=112.94
Closest atoms and distances in Å follow each position.
Element x y z (fractional)
In: 0.5771 0.1543 0.2500  7 Ga 3.07-3.36
In: 0.4229 0.8457 0.7500  7 Ga 3.07-3.36
Ga: 0.7042 0.4083 0.7500  6 Ga 2.73-2.86
Ga: 0.2958 0.5917 0.2500  6 Ga 2.73-2.86
Ga: 0.1208 0.2416 0.5431  5 Ga 2.72-2.86
Ga: 0.8792 0.7584 0.4569  5 Ga 2.72-2.86
Ga: 0.1208 0.2416 0.9569  5 Ga 2.72-2.86
Ga: 0.8792 0.7584 0.0431  5 Ga 2.72-2.86

DFT (PBE-GGA) results for a relaxed InGa crystal.

Unit cell a=4.0990 b=4.0990 c=4.0990 alpha=60.00 beta=60.00 gamma=60.00
Closest atoms and distances in Å follow each position.
Element x y z (fractional)
Ga: 0.0000 0.0000 0.0000  6 In 2.90
In: 0.5000 0.5000 0.5000  6 Ga 2.90

DFT (PBE-GGA) results for a relaxed In2Ga crystal.

Unit cell a=3.1501 b=10.4326 c=9.1026 alpha=81.46 beta=90.00 gamma=90.00
Closest atoms and distances in Å follow each position.
Element x y z (fractional)
In: 0.4980 0.7409 0.5778  3 Ga 2.97-3.14, 3 In 3.15-3.17
In: 0.4980 0.7591 0.9222  3 Ga 2.97-3.14, 3 In 3.15-3.17
In: 0.0034 0.9911 0.3278  3 Ga 2.97-3.15, 3 In 3.15-3.17
In: 0.0034 0.5089 0.1722  3 Ga 2.97-3.15, 3 In 3.15-3.17
In: 0.9966 0.0089 0.6722  3 Ga 2.97-3.15, 3 In 3.15-3.17
In: 0.9966 0.4911 0.8278  3 Ga 2.97-3.15, 3 In 3.15-3.17
In: 0.5020 0.2409 0.0778  3 Ga 2.97-3.14, 3 In 3.15-3.17
In: 0.5020 0.2591 0.4222  3 Ga 2.97-3.14, 3 In 3.15-3.17
Ga: 0.0000 0.5000 0.5000  6 In 2.97-3.14, 2 Ga 3.15
Ga: 0.0000 0.0000 0.0000  6 In 2.97-3.14, 2 Ga 3.15
Ga: 0.4863 0.2500 0.7500  6 In 2.97-3.15, 2 Ga 3.15
Ga: 0.5137 0.7500 0.2500  6 In 2.97-3.15, 2 Ga 3.15

DFT (PBE-GGA) results for a relaxed In2Ga3 crystal.

Unit cell a=3.4435 b=3.4435 c=11.2262 alpha=81.18 beta=81.18 gamma=60.00
Closest atoms and distances in Å follow each position.
Element x y z (fractional)
In: 0.2944 0.2944 0.1167  3 Ga 3.03, 3 In 3.26
In: 0.7056 0.7056 0.8833  3 Ga 3.03, 3 In 3.26
Ga: 0.1078 0.1078 0.6767  3 Ga 2.79, 3 In 3.03
Ga: 0.5000 0.5000 0.5000  6 Ga 2.79
Ga: 0.8922 0.8922 0.3233  3 Ga 2.79, 3 In 3.03

DFT (PBE-GGA) results for a relaxed In3Ga crystal.

Unit cell a=3.2264 b=5.7102 c=6.4135 alpha=116.43 beta=104.57 gamma=90.00
Closest atoms and distances in Å follow each position.
Element x y z (fractional)
Ga: 0.0000 0.9918 0.0000  8 In 3.14-3.39, 2 Ga 3.23
In: 0.2664 0.6188 0.5328  2 Ga 3.14, 9 In 3.23-3.42
In: 0.5000 0.4699 0.0000  4 Ga 3.17-3.39, 8 In 3.23-3.42
In: 0.7336 0.0861 0.4672  2 Ga 3.14, 9 In 3.23-3.42

DFT (PBE-GGA) results for a relaxed InGa3 crystal.

Unit cell a=6.0910 b=6.0910 c=5.2317 alpha=90.00 beta=90.00 gamma=120.00
Closest atoms and distances in Å follow each position.
Element x y z (fractional)
In: 0.3333 0.6667 0.7500  12 Ga 3.05-3.18
In: 0.6667 0.3333 0.2500  12 Ga 3.05-3.18
Ga: 0.1623 0.3247 0.2500  8 Ga 2.97-3.13, 4 In 3.05-3.18
Ga: 0.6753 0.8377 0.2500  8 Ga 2.97-3.13, 4 In 3.05-3.18
Ga: 0.1623 0.8377 0.2500  8 Ga 2.97-3.13, 4 In 3.05-3.18
Ga: 0.8377 0.6753 0.7500  8 Ga 2.97-3.13, 4 In 3.05-3.18
Ga: 0.3247 0.1623 0.7500  8 Ga 2.97-3.13, 4 In 3.05-3.18
Ga: 0.8377 0.1623 0.7500  8 Ga 2.97-3.13, 4 In 3.05-3.18

DFT (PBE-GGA) results for a relaxed In5Ga2 crystal.

Unit cell a=5.3667 b=5.0624 c=8.6483 alpha=109.76 beta=89.73 gamma=124.64
Closest atoms and distances in Å follow each position.
Element x y z (fractional)
In: 0.3612 0.7171 0.0807  4 Ga 3.03-3.38, 5 In 3.18-3.37
In: 0.6388 0.2829 0.9193  4 Ga 3.03-3.38, 5 In 3.18-3.37
In: 0.2193 0.4276 0.6515  3 Ga 3.07-3.31, 5 In 3.15-3.40
In: 0.5000 0.0000 0.5000  8 In 3.15-3.32, 2 Ga 3.49
In: 0.7807 0.5724 0.3485  3 Ga 3.07-3.31, 5 In 3.15-3.40
Ga: 0.0688 0.1312 0.2028  7 In 3.03-3.38, 1 Ga 3.22
Ga: 0.9312 0.8688 0.7972  7 In 3.03-3.38, 1 Ga 3.22

DFT (PBE-GGA) results for a relaxed InGa2 crystal.

Unit cell a=5.7290 b=5.7290 c=5.7290 alpha=60.00 beta=60.00 gamma=60.00
Closest atoms and distances in Å follow each position.
Element x y z (fractional)
Ga: 0.1250 0.6250 0.6250  6 Ga 2.86
Ga: 0.6250 0.1250 0.6250  6 Ga 2.86
Ga: 0.6250 0.6250 0.6250  6 Ga 2.86
Ga: 0.6250 0.6250 0.1250  6 Ga 2.86
In: 0.0000 0.0000 0.0000  12 Ga 3.36, 4 In 3.51
In: 0.2500 0.2500 0.2500  12 Ga 3.36, 4 In 3.51

DFT (PBE-GGA) results for a relaxed InGa crystal.

Unit cell a=5.5975 b=6.1092 c=11.0215 alpha=90.00 beta=90.00 gamma=90.00
Closest atoms and distances in Å follow each position.
Element x y z (fractional)
In: 0.6115 0.1050 0.4876  7 Ga 3.04-3.39, 2 In 3.32
In: 0.1115 0.3950 0.5124  7 Ga 3.04-3.39, 2 In 3.32
In: 0.3885 0.6050 0.0124  7 Ga 3.04-3.39, 2 In 3.32
In: 0.8885 0.8950 0.9876  7 Ga 3.04-3.39, 2 In 3.32
In: 0.1148 0.8642 0.2969  3 Ga 2.89-2.94
In: 0.6148 0.6358 0.7031  3 Ga 2.89-2.94
In: 0.8852 0.3642 0.2031  3 Ga 2.89-2.94
In: 0.3852 0.1358 0.7969  3 Ga 2.89-2.94
Ga: 0.1466 0.8831 0.5632  2 Ga 2.75-2.81, 3 In 2.94-3.05
Ga: 0.6466 0.6169 0.4368  2 Ga 2.75-2.81, 3 In 2.94-3.05
Ga: 0.8534 0.3831 0.9368  2 Ga 2.75-2.81, 3 In 2.94-3.05
Ga: 0.3534 0.1169 0.0632  2 Ga 2.75-2.81, 3 In 2.94-3.05
Ga: 0.3832 0.3834 0.2706  2 Ga 2.75-2.81, 3 In 2.89-3.07
Ga: 0.8832 0.1166 0.7294  2 Ga 2.75-2.81, 3 In 2.89-3.07
Ga: 0.6168 0.8834 0.2294  2 Ga 2.75-2.81, 3 In 2.89-3.07
Ga: 0.1168 0.6166 0.7706  2 Ga 2.75-2.81, 3 In 2.89-3.07

Electronic total energy, record by record: -0.218 -0.218 -0.217 -0.184 -0.203 -0.219 -0.187 -0.207 -0.216 -0.195 -0.213 -0.216 -0.204 -0.205 -0.211 -0.204 -0.214 -0.204 -0.211 -0.208 Ry/atom